Sc2MnAg | Alexandria via LeMat-Bulk | GGA-PBE | relaxed; DOS(E_F) = 14.58 states/eV per cell; electronic total energy = -91.56 eV per cell
1.0
4.148 0.000 0.000
0.000 4.148 0.000
0.000 0.000 19.487
Sc Mn Ag
8 4 4
Cartesian
1.022 1.037 2.436 Sc
1.037 3.096 7.308 Sc
1.037 3.126 17.051 Sc
1.052 1.037 12.179 Sc
3.096 3.111 12.179 Sc
3.111 1.022 17.051 Sc
3.111 1.052 7.308 Sc
3.126 3.111 2.436 Sc
0.000 0.000 0.000 Mn
0.000 2.074 4.872 Mn
2.074 0.000 14.615 Mn
2.074 2.074 9.743 Mn
0.000 0.000 9.743 Ag
0.000 2.074 14.615 Ag
2.074 0.000 4.872 Ag
2.074 2.074 0.000 Ag